(1)
Computed, not measured: RbTcRh2 after structural relaxation at the PBE-GGA level of DFT.

a b c (Å): 7.508 7.508 6.900
angles (deg): 90.00 90.00 90.00
Space group I-42d (No. 122)
Inequivalent atoms, fractional coordinates:
Rb  0.000  0.000  0.000 x4
Tc  0.000  0.000  0.500 x4
Rh  0.158  0.750  0.625 x8

***

(2)
Computed, not measured: RbTcRh2 after structural relaxation at the PBE-GGA level of DFT.

a b c (Å): 6.640 6.640 6.640
angles (deg): 90.00 90.00 90.00
Space group Fm-3m (No. 225)
Inequivalent atoms, fractional coordinates:
Rb  0.000  0.000  0.000 x4
Tc  0.000  0.000  0.500 x4
Rh  0.250  0.250  0.250 x8

***

Most stable one: (1), least stable one: (2).

***

(1)
Computed, not measured: RbTeRh3 after structural relaxation at the PBE-GGA level of DFT.

a b c (Å): 4.982 4.982 4.982
angles (deg): 90.00 90.00 90.00
Space group Pm-3m (No. 221)
Inequivalent atoms, fractional coordinates:
Rb  0.000  0.000  0.000 x1
Te  0.500  0.500  0.500 x1
Rh  0.000  0.500  0.500 x3

***

(2)
Computed, not measured: RbTeRh3 after structural relaxation at the PBE-GGA level of DFT.

a b c (Å): 4.882 4.882 4.882
angles (deg): 90.00 90.00 90.00
Space group Pm-3m (No. 221)
Inequivalent atoms, fractional coordinates:
Rb  0.000  0.000  0.000 x1
Te  0.500  0.500  0.500 x1
Rh  0.000  0.000  0.500 x3

***

Most stable one: (1), least stable one: (2).

***

(1)
Computed, not measured: RbTi3Rh after structural relaxation at the PBE-GGA level of DFT.

a b c (Å): 4.606 4.606 4.606
angles (deg): 90.00 90.00 90.00
Space group Pm-3m (No. 221)
Inequivalent atoms, fractional coordinates:
Rb  0.000  0.000  0.000 x1
Ti  0.000  0.000  0.500 x3
Rh  0.500  0.500  0.500 x1

***

(2)
Computed, not measured: RbTi3Rh after structural relaxation at the PBE-GGA level of DFT.

a b c (Å): 4.935 4.935 4.935
angles (deg): 90.00 90.00 90.00
Space group Pm-3m (No. 221)
Inequivalent atoms, fractional coordinates:
Rb  0.000  0.000  0.000 x1
Ti  0.000  0.500  0.500 x3
Rh  0.500  0.500  0.500 x1

***

Most stable one: (2), least stable one: (1).

***

(1)
Computed, not measured: RbTi2Rh after structural relaxation at the PBE-GGA level of DFT.

a b c (Å): 6.716 6.716 6.716
angles (deg): 90.00 90.00 90.00
Space group Fm-3m (No. 225)
Inequivalent atoms, fractional coordinates:
Rb  0.000  0.000  0.000 x4
Ti  0.250  0.250  0.250 x8
Rh  0.000  0.000  0.500 x4

***

(2)
Computed, not measured: RbTi2Rh after structural relaxation at the PBE-GGA level of DFT.

a b c (Å): 5.688 5.688 15.958
angles (deg): 90.00 90.00 90.00
Space group I4_1/amd (No. 141, origin choice 2)
Inequivalent atoms, fractional coordinates:
Rb  0.000  0.250  0.375 x4
Ti  0.000  0.000  0.000 x8
Rh  0.000  0.250  0.875 x4

***

Most stable one: (1), least stable one: (2).

***

(1)
Computed, not measured: RbTlRh3 after structural relaxation at the PBE-GGA level of DFT.

a b c (Å): 5.148 5.148 5.148
angles (deg): 90.00 90.00 90.00
Space group Pm-3m (No. 221)
Inequivalent atoms, fractional coordinates:
Rb  0.000  0.000  0.000 x1
Tl  0.500  0.500  0.500 x1
Rh  0.000  0.500  0.500 x3

***

(2)
Computed, not measured: RbTlRh3 after structural relaxation at the PBE-GGA level of DFT.

a b c (Å): 4.947 4.947 4.947
angles (deg): 90.00 90.00 90.00
Space group Pm-3m (No. 221)
Inequivalent atoms, fractional coordinates:
Rb  0.000  0.000  0.000 x1
Tl  0.500  0.500  0.500 x1
Rh  0.000  0.000  0.500 x3

***

Most stable one: (1), least stable one: (2).

***

(1)
Computed, not measured: Rb2TlRh after structural relaxation at the PBE-GGA level of DFT.

a b c (Å): 12.281 12.281 5.243
angles (deg): 90.00 90.00 90.00
Space group I-42d (No. 122)
Inequivalent atoms, fractional coordinates:
Rb  0.083  0.250  0.125 x8
Tl  0.000  0.000  0.500 x4
Rh  0.000  0.000  0.000 x4

***

(2)
Computed, not measured: Rb2TlRh after structural relaxation at the PBE-GGA level of DFT.

a b c (Å): 8.235 8.235 8.235
angles (deg): 90.00 90.00 90.00
Space group Fm-3m (No. 225)
Inequivalent atoms, fractional coordinates:
Rb  0.250  0.250  0.250 x8
Tl  0.000  0.000  0.000 x4
Rh  0.000  0.000  0.500 x4

***

Most stable one: (1), least stable one: (2).